{"formula": "Zr2S", "functional": "SCAN", "state": "single point on PBEsol structure", "energy_ev_per_atom": -24.92, "density_g_cm3": 6.6, "raw_formation_energy_ev_per_atom": -1.2469, "lattice": [[12.1975, 0.0000, 0.0000], [0.0000, 15.1174, 0.0000], [0.0000, 0.0000, 3.5048]], "species": ["Zr", "Zr", "Zr", "Zr", "Zr", "Zr", "Zr", "Zr", "Zr", "Zr", "Zr", "Zr", "Zr", "Zr", "Zr", "Zr", "Zr", "Zr", "Zr", "Zr", "Zr", "Zr", "Zr", "Zr", "S", "S", "S", "S", "S", "S", "S", "S", "S", "S", "S", "S"], "frac_coords": [[0.0337, 0.1098, 0.0000], [0.0748, 0.7505, 0.5000], [0.0858, 0.5818, 0.0000], [0.1268, 0.4196, 0.5000], [0.1568, 0.9751, 0.5000], [0.2005, 0.2049, 0.5000], [0.2995, 0.7049, 0.0000], [0.3432, 0.4751, 0.0000], [0.3732, 0.9196, 0.0000], [0.4142, 0.0818, 0.5000], [0.4252, 0.2505, 0.0000], [0.4663, 0.6098, 0.5000], [0.5337, 0.3902, 0.5000], [0.5748, 0.7495, 0.0000], [0.5858, 0.9182, 0.5000], [0.6268, 0.0804, 0.0000], [0.6568, 0.5249, 0.0000], [0.7005, 0.2951, 0.0000], [0.7995, 0.7951, 0.5000], [0.8432, 0.0249, 0.5000], [0.8732, 0.5804, 0.5000], [0.9142, 0.4182, 0.0000], [0.9252, 0.2495, 0.5000], [0.9663, 0.8902, 0.0000], [0.0772, 0.2918, 0.0000], [0.1801, 0.8477, 0.0000], [0.2459, 0.5804, 0.5000], [0.2541, 0.0804, 0.0000], [0.3199, 0.3477, 0.5000], [0.4228, 0.7918, 0.5000], [0.5772, 0.2082, 0.5000], [0.6801, 0.6523, 0.5000], [0.7459, 0.9196, 0.0000], [0.7541, 0.4196, 0.5000], [0.8199, 0.1523, 0.0000], [0.9228, 0.7082, 0.0000]]}